1.
## CaFe2Rh (GGA-PBE)

Data for CaFe2Rh after structural relaxation.

Cell lengths 5.278, 9.048, 2.766 Å; angles 90.00, 109.62, 90.00 degrees
Space group C2/m (No. 12)
Symmetry-distinct sites (fractional):
Ca  0.000  0.000  0.000 x2
Fe  0.250  0.250  0.500 x4
Rh  0.000  0.500  0.000 x2

**Crystal system**: monoclinic
**Formation energy from the elements**: 359 meV per atom
**DFT total energy**: -49.68 eV for the cell shown

***

2.
## Li2B2Pd5Au (GGA-PBE)

Data for Li2B2Pd5Au after structural relaxation.

Cell lengths 9.742, 9.742, 2.983 Å; angles 90.00, 90.00, 90.00 degrees
Space group P4/mbm (No. 127)
Symmetry-distinct sites (fractional):
Li  0.177  0.323  0.000 x4
B  0.126  0.626  0.000 x4
Pd  0.000  0.500  0.500 x2
Pd  0.072  0.774  0.500 x8
Au  0.000  0.000  0.000 x2

**Crystal system**: tetragonal
**Formation energy from the elements**: -344 meV per atom
**DFT total energy**: -99.73 eV for the cell shown

***

3.
## Re2C3 (GGA-PBE)

Data for Re2C3 after structural relaxation.

Cell lengths 8.988, 9.703, 5.477 Å; angles 90.00, 90.00, 90.00 degrees
Space group Fdd2 (No. 43)
Symmetry-distinct sites (fractional):
Re  0.029  0.313  0.000 x16
C  0.000  0.000  0.723 x8
C  0.114  0.312  0.624 x16

**Crystal system**: orthorhombic
**Formation energy from the elements**: 1191 meV per atom
**DFT total energy**: -372.92 eV for the cell shown

***

4.
## AcCe2Sm3Te6 (GGA-PBE)

Data for AcCe2Sm3Te6 after structural relaxation.

Cell lengths 7.776, 13.488, 7.863 Å; angles 90.00, 109.29, 90.00 degrees
Space group C2/m (No. 12)
Symmetry-distinct sites (fractional):
Ac  0.000  0.000  0.000 x2
Ce  0.000  0.332  0.000 x4
Sm  0.000  0.158  0.500 x4
Sm  0.000  0.500  0.500 x2
Te  0.241  0.329  0.738 x8
Te  0.241  0.500  0.253 x4

**Crystal system**: monoclinic
**DFT total energy**: -131.46 eV for the cell shown
**Formation energy (no corrections)**: -1.3957 eV per atom

***

5.
## Hf5NbRe6 (GGA-PBE)

Data for Hf5NbRe6 after structural relaxation.

Cell lengths 4.607, 6.526, 13.839 Å; angles 90.00, 90.00, 90.00 degrees
Space group Immm (No. 71)
Symmetry-distinct sites (fractional):
Hf  0.000  0.000  0.000 x2
Hf  0.000  0.000  0.333 x4
Hf  0.000  0.500  0.334 x4
Nb  0.000  0.500  0.000 x2
Re  0.000  0.245  0.500 x4
Re  0.000  0.253  0.165 x8

**Crystal system**: orthorhombic
**Formation energy from the elements**: -333 meV per atom
**DFT total energy**: -277.05 eV for the cell shown

***

6.
## CaFe2Os (GGA-PBE)

Data for CaFe2Os after structural relaxation.

Cell lengths 6.306, 6.306, 6.306 Å; angles 90.00, 90.00, 90.00 degrees
Space group F-43m (No. 216)
Symmetry-distinct sites (fractional):
Ca  0.000  0.000  0.000 x4
Fe  0.000  0.000  0.500 x4
Fe  0.250  0.250  0.750 x4
Os  0.250  0.250  0.250 x4

**Crystal system**: cubic
**Formation energy from the elements**: 723 meV per atom
**DFT total energy**: -109.06 eV for the cell shown

***

7.
## YV3S (GGA-PBE)

Data for YV3S after structural relaxation.

Cell lengths 4.441, 4.441, 4.441 Å; angles 90.00, 90.00, 90.00 degrees
Space group Pm-3m (No. 221)
Symmetry-distinct sites (fractional):
Y  0.000  0.000  0.000 x1
V  0.000  0.500  0.500 x3
S  0.500  0.500  0.500 x1

**Crystal system**: cubic
**DFT total energy**: -38.16 eV for the cell shown
**Formation energy (no corrections)**: -0.0425 eV per atom

***

8.
## Lu2MgRe (GGA-PBE)

Data for Lu2MgRe after structural relaxation.

Cell lengths 3.0544, 3.0544, 33.5945 Å; angles 90.00, 90.00, 120.00 degrees
Space group R-3m (No. 166, hexagonal axes)
Symmetry-distinct sites (fractional):
Lu  0.0000  0.0000  0.0810 x6
Mg  0.0000  0.0000  0.5000 x3
Re  0.0000  0.0000  0.0000 x3

**Crystal system**: trigonal
**Formation energy from the elements**: 668 meV per atom
**DFT total energy**: -61.24 eV for the cell shown

***

9.
## ZrSiH (GGA-PBE)

Data for ZrSiH after structural relaxation.

Cell lengths 3.756, 4.996, 8.483 Å; angles 90.00, 90.00, 90.00 degrees
Space group Immm (No. 71)
Symmetry-distinct sites (fractional):
Zr  0.000  0.000  0.199 x4
Si  0.000  0.248  0.500 x4
H  0.000  0.500  0.194 x4

**Crystal system**: orthorhombic
**DFT total energy**: -75.47 eV for the cell shown

***

10.
## Na2Mo2Au (GGA-PBE)

Data for Na2Mo2Au after structural relaxation.

Cell lengths 3.826, 3.826, 14.758 Å; angles 90.00, 90.00, 90.00 degrees
Space group I4/mmm (No. 139)
Symmetry-distinct sites (fractional):
Na  0.000  0.500  0.250 x4
Mo  0.000  0.000  0.071 x4
Au  0.000  0.000  0.500 x2

**Crystal system**: tetragonal
**Formation energy from the elements**: 961 meV per atom
**DFT total energy**: -45.54 eV for the cell shown

***

11.
## CeYCoTc (GGA-PBE)

Data for CeYCoTc after structural relaxation.

Cell lengths 6.806, 6.806, 6.806 Å; angles 90.00, 90.00, 90.00 degrees
Space group F-43m (No. 216)
Symmetry-distinct sites (fractional):
Ce  0.000  0.000  0.000 x4
Y  0.000  0.000  0.500 x4
Co  0.250  0.250  0.250 x4
Tc  0.250  0.250  0.750 x4

**Crystal system**: cubic
**Formation energy from the elements**: -23 meV per atom
**DFT total energy**: -119.85 eV for the cell shown

***

12.
## ZrSc2Te4 (GGA-PBE)

Data for ZrSc2Te4 after structural relaxation.

Cell lengths 13.330, 14.414, 8.389 Å; angles 90.00, 90.00, 90.00 degrees
Space group Fdd2 (No. 43)
Symmetry-distinct sites (fractional):
Zr  0.000  0.000  0.000 x8
Sc  0.002  0.243  0.239 x16
Te  0.121  0.419  0.234 x16
Te  0.123  0.168  0.494 x16

**Crystal system**: orthorhombic
**DFT total energy**: -331.52 eV for the cell shown
**Formation energy (no corrections)**: -1.0946 eV per atom